{"formula": "Mn3AlH", "functional": "PBE", "state": "optimized geometry", "e_tot_ev_per_atom": -6.9017, "sg": "C2/m, No. 12", "dos_ef_per_ev_cell": 6.38, "crystal_system": "monoclinic", "lattice_angstrom": [[6.252, -1.366, 0.000], [6.252, 1.366, 0.000], [-2.003, 0.000, 6.035]], "species": ["Mn", "Mn", "Mn", "Mn", "Mn", "Mn", "Al", "Al", "H", "H"], "fractional_positions": [[0.029, 0.029, 0.213], [0.171, 0.171, 0.989], [0.290, 0.290, 0.696], [0.710, 0.710, 0.304], [0.829, 0.829, 0.011], [0.971, 0.971, 0.787], [0.392, 0.392, 0.367], [0.608, 0.608, 0.633], [0.171, 0.171, 0.444], [0.829, 0.829, 0.556]]}


{"formula": "Ga2RePt2", "functional": "PBE", "state": "optimized geometry", "sg": "P4/mbm, No. 127", "dos_ef_per_ev_cell": 3.81, "crystal_system": "tetragonal", "ef_ev_per_fu": -0.6, "lattice_angstrom": [[7.409, 0.000, 0.000], [0.000, 7.409, 0.000], [0.000, 0.000, 2.777]], "species": ["Ga", "Ga", "Ga", "Ga", "Re", "Re", "Pt", "Pt", "Pt", "Pt"], "fractional_positions": [[0.145, 0.355, 0.000], [0.355, 0.855, 0.000], [0.645, 0.145, 0.000], [0.855, 0.645, 0.000], [0.000, 0.000, 0.000], [0.500, 0.500, 0.000], [0.155, 0.655, 0.500], [0.345, 0.155, 0.500], [0.655, 0.845, 0.500], [0.845, 0.345, 0.500]]}


{"formula": "Be3InSb", "functional": "PBE", "state": "optimized geometry", "sg": "Pm-3m, No. 221", "dos_ef_per_ev_cell": 2.64, "crystal_system": "cubic", "e_form_raw_mev_per_atom": 1148.9, "lattice_angstrom": [[4.604, 0.000, 0.000], [0.000, 4.604, 0.000], [0.000, 0.000, 4.604]], "species": ["Be", "Be", "Be", "In", "Sb"], "fractional_positions": [[0.000, 0.000, 0.500], [0.000, 0.500, 0.000], [0.500, 0.000, 0.000], [0.000, 0.000, 0.000], [0.500, 0.500, 0.500]]}


{"formula": "Mg2CoH2", "functional": "PBE", "state": "optimized geometry", "e_tot_ev_per_atom": -2.8268, "sg": "P4/mbm, No. 127", "dos_ef_per_ev_cell": 2.10, "crystal_system": "tetragonal", "lattice_angstrom": [[6.695, 0.000, 0.000], [0.000, 6.695, 0.000], [0.000, 0.000, 2.593]], "species": ["Mg", "Mg", "Mg", "Mg", "Co", "Co", "H", "H", "H", "H"], "fractional_positions": [[0.157, 0.343, 0.000], [0.343, 0.843, 0.000], [0.657, 0.157, 0.000], [0.843, 0.657, 0.000], [0.000, 0.000, 0.000], [0.500, 0.500, 0.000], [0.115, 0.615, 0.500], [0.385, 0.115, 0.500], [0.615, 0.885, 0.500], [0.885, 0.385, 0.500]]}


Calculated values (μB per cell) of magnetic moment for the records, taken in order: 2.27 0.00 0.00 2.07.